Entry one
## TcAsSBr2 (SCAN)

Data for TcAsSBr2 at its PBEsol-relaxed geometry.

Its symmetry is P4/mmm.

Lattice parameters (Å, degrees): 4.869 4.805 4.805 90.00 90.00 90.00
Sites, in units of the cell vectors:
1 S 0.500 0.500 0.500
2 Tc 0.000 0.000 0.000
3 As 0.500 0.000 0.000
4 Br 0.000 0.000 0.500
5 Br 0.000 0.500 0.000

---

Entry two
## TcAsSBr2 (SCAN)

Data for TcAsSBr2 at its PBEsol-relaxed geometry.

Its symmetry is P4/mmm.

Lattice parameters (Å, degrees): 4.912 4.912 4.951 90.00 90.00 90.00
Sites, in units of the cell vectors:
1 Tc 0.500 0.500 0.500
2 As 0.000 0.000 0.500
3 S 0.000 0.000 0.000
4 Br 0.000 0.500 0.000
5 Br 0.500 0.000 0.000

---

The least stable of them is entry two.

---

Entry one
## Sc2BeZn (SCAN)

Data for Sc2BeZn at its PBEsol-relaxed geometry.

Its symmetry is P4/mmm.

Lattice parameters (Å, degrees): 3.210 3.210 6.482 90.00 90.00 90.00
Sites, in units of the cell vectors:
1 Be 0.500 0.500 0.000
2 Sc 0.000 0.000 0.766
3 Zn 0.500 0.500 0.500
4 Sc 0.000 0.000 0.234

---

Entry two
## Sc2BeZn (SCAN)

Data for Sc2BeZn at its PBEsol-relaxed geometry.

Its symmetry is P4mm.

Lattice parameters (Å, degrees): 2.971 2.971 7.632 90.00 90.00 90.00
Sites, in units of the cell vectors:
1 Zn 0.000 0.000 0.552
2 Be 0.500 0.500 0.710
3 Sc 0.000 0.000 0.952
4 Sc 0.500 0.500 0.286

---

The least stable of them is entry two.